Er5MnSe4 PBE optimized geometry; N(E_F) = 0.711 states/eV/atom; magnetic moment = 3.50 μB per cell; uncorrected energy = -5.83 eV per atom; crystal system = tetragonal
1.0
-4.5465 4.5465 2.8696
4.5465 -4.5465 2.8696
4.5465 4.5465 -2.8696
Er Mn Se
5 1 4
direct
0.0000 0.0000 0.0000 Er
0.2141 0.5972 0.8113 Er
0.4028 0.2141 0.6169 Er
0.5972 0.7859 0.3831 Er
0.7859 0.4028 0.1887 Er
0.5000 0.5000 0.0000 Mn
0.0929 0.3067 0.3996 Se
0.3067 0.9071 0.2139 Se
0.6933 0.0929 0.7861 Se
0.9071 0.6933 0.6004 Se

Er3Mn5Se12 PBE optimized geometry; N(E_F) = 0.299 states/eV/atom; magnetic moment = 80.01 μB per cell; uncorrected energy = -5.95 eV per atom; crystal system = cubic
1.0
-7.8361 7.8361 7.8361
7.8361 -7.8361 7.8361
7.8361 7.8361 -7.8361
Er Mn Se
12 20 48
direct
0.1250 0.2500 0.3750 Er
0.1250 0.3750 0.7500 Er
0.2500 0.3750 0.1250 Er
0.2500 0.8750 0.6250 Er
0.3750 0.1250 0.2500 Er
0.3750 0.7500 0.1250 Er
0.6250 0.2500 0.8750 Er
0.6250 0.8750 0.7500 Er
0.7500 0.1250 0.3750 Er
0.7500 0.6250 0.8750 Er
0.8750 0.6250 0.2500 Er
0.8750 0.7500 0.6250 Er
0.0000 0.0000 0.0000 Mn
0.0000 0.0000 0.5000 Mn
0.0000 0.5000 0.0000 Mn
0.0000 0.5000 0.5000 Mn
0.1250 0.7500 0.8750 Mn
0.1250 0.8750 0.2500 Mn
0.2500 0.1250 0.8750 Mn
0.2500 0.6250 0.3750 Mn
0.3750 0.2500 0.6250 Mn
0.3750 0.6250 0.7500 Mn
0.5000 0.0000 0.0000 Mn
0.5000 0.0000 0.5000 Mn
0.5000 0.5000 0.0000 Mn
0.5000 0.5000 0.5000 Mn
0.6250 0.3750 0.2500 Mn
0.6250 0.7500 0.3750 Mn
0.7500 0.3750 0.6250 Mn
0.7500 0.8750 0.1250 Mn
0.8750 0.1250 0.7500 Mn
0.8750 0.2500 0.1250 Mn
0.0353 0.2095 0.1247 Se
0.0353 0.3258 0.9106 Se
0.0848 0.7095 0.6742 Se
0.0848 0.8753 0.4106 Se
0.0894 0.6247 0.4152 Se
0.0894 0.9647 0.6742 Se
0.1247 0.0353 0.2095 Se
0.1247 0.5894 0.9152 Se
0.1742 0.2095 0.5848 Se
0.1742 0.4647 0.5894 Se
0.2095 0.1247 0.0353 Se
0.2095 0.5848 0.1742 Se
0.2905 0.3258 0.9152 Se
0.2905 0.4647 0.3753 Se
0.3258 0.9106 0.0353 Se
0.3258 0.9152 0.2905 Se
0.3753 0.2905 0.4647 Se
0.3753 0.5848 0.9106 Se
0.4106 0.0848 0.8753 Se
0.4106 0.8258 0.5353 Se
0.4152 0.0894 0.6247 Se
0.4152 0.8258 0.7905 Se
0.4647 0.3753 0.2905 Se
0.4647 0.5894 0.1742 Se
0.5353 0.4106 0.8258 Se
0.5353 0.6247 0.7095 Se
0.5848 0.1742 0.2095 Se
0.5848 0.9106 0.3753 Se
0.5894 0.1742 0.4647 Se
0.5894 0.9152 0.1247 Se
0.6247 0.4152 0.0894 Se
0.6247 0.7095 0.5353 Se
0.6742 0.0848 0.7095 Se
0.6742 0.0894 0.9647 Se
0.7095 0.5353 0.6247 Se
0.7095 0.6742 0.0848 Se
0.7905 0.4152 0.8258 Se
0.7905 0.8753 0.9647 Se
0.8258 0.5353 0.4106 Se
0.8258 0.7905 0.4152 Se
0.8753 0.4106 0.0848 Se
0.8753 0.9647 0.7905 Se
0.9106 0.0353 0.3258 Se
0.9106 0.3753 0.5848 Se
0.9152 0.1247 0.5894 Se
0.9152 0.2905 0.3258 Se
0.9647 0.6742 0.0894 Se
0.9647 0.7905 0.8753 Se